No. 1
ReSbRh2N: relaxed, PBE.

Results
Density of states at the Fermi level = 1.03 states/eV/atom
Formation energy (no corrections) = 1.4 eV per formula unit

Unit cell a=4.270 b=4.270 c=3.993 alpha=90.00 beta=90.00 gamma=90.00
Element x y z (fractional)
Re1 0.000 0.000 0.000
Sb1 0.500 0.500 0.000
Rh1 0.000 0.500 0.500
Rh2 0.500 0.000 0.500
N1 0.000 0.000 0.500

=====

No. 2
ReRhSe2N: relaxed, PBE.

Results
Density of states at the Fermi level = 0.89 states/eV/atom
Formation energy (no corrections) = 5.8 eV per formula unit
Energy relative to the lowest polymorph listed for this composition = 513 meV/atom

Unit cell a=5.056 b=5.056 c=3.578 alpha=90.00 beta=90.00 gamma=90.00
Element x y z (fractional)
Re1 0.000 0.000 0.000
Rh1 0.500 0.500 0.500
Se1 0.000 0.500 0.500
Se2 0.500 0.000 0.500
N1 0.500 0.500 0.000

=====

No. 3
ReRhSeN2: relaxed, PBE.

Results
Density of states at the Fermi level = 0.70 states/eV/atom
Formation energy (no corrections) = 3.5 eV per formula unit
Energy relative to the lowest polymorph listed for this composition = 0 meV/atom

Unit cell a=3.787 b=3.787 c=5.474 alpha=90.00 beta=90.00 gamma=90.00
Element x y z (fractional)
Re1 0.000 0.000 0.000
Rh1 0.500 0.500 0.500
Se1 0.000 0.000 0.500
N1 0.000 0.500 0.000
N2 0.500 0.000 0.000

=====

No. 4
ReRhSe2N: relaxed, PBE.

Results
Density of states at the Fermi level = 1.01 states/eV/atom
Formation energy (no corrections) = 3.3 eV per formula unit
Energy relative to the lowest polymorph listed for this composition = 0 meV/atom

Unit cell a=4.979 b=4.979 c=3.689 alpha=90.00 beta=90.00 gamma=90.00
Element x y z (fractional)
Re1 0.000 0.000 0.000
Rh1 0.500 0.500 0.500
Se1 0.000 0.500 0.000
Se2 0.500 0.000 0.000
N1 0.000 0.000 0.500

=====

No. 5
ReRhSeN2: relaxed, PBE.

Results
Density of states at the Fermi level = 1.23 states/eV/atom
Formation energy (no corrections) = 9.0 eV per formula unit
Energy relative to the lowest polymorph listed for this composition = 1097 meV/atom

Unit cell a=3.692 b=3.692 c=6.105 alpha=90.00 beta=90.00 gamma=90.00
Element x y z (fractional)
Re1 0.000 0.000 0.000
Rh1 0.500 0.500 0.500
Se1 0.500 0.500 0.000
N1 0.000 0.500 0.500
N2 0.500 0.000 0.500

=====

No. 6
Tl2ReRhN: relaxed, PBE.

Results
Density of states at the Fermi level = 1.39 states/eV/atom
Formation energy (no corrections) = 10.1 eV per formula unit

Unit cell a=5.220 b=5.220 c=4.794 alpha=90.00 beta=90.00 gamma=90.00
Element x y z (fractional)
Tl1 0.000 0.500 0.000
Tl2 0.500 0.000 0.000
Re1 0.000 0.000 0.500
Rh1 0.000 0.000 0.000
N1 0.500 0.500 0.500

=====

No. 7
V2ReRhN: relaxed, PBE.

Results
Density of states at the Fermi level = 1.12 states/eV/atom
Formation energy (no corrections) = -2.1 eV per formula unit

Unit cell a=3.959 b=3.959 c=3.980 alpha=90.00 beta=90.00 gamma=90.00
Element x y z (fractional)
V1 0.000 0.500 0.000
V2 0.500 0.000 0.000
Re1 0.000 0.000 0.500
Rh1 0.500 0.500 0.500
N1 0.000 0.000 0.000

=====

No. 8
ReRhW2N: relaxed, PBE.

Results
Density of states at the Fermi level = 0.84 states/eV/atom
Formation energy (no corrections) = 0.1 eV per formula unit

Unit cell a=4.107 b=4.107 c=4.042 alpha=90.00 beta=90.00 gamma=90.00
Element x y z (fractional)
Re1 0.000 0.000 0.000
Rh1 0.500 0.500 0.000
W1 0.000 0.500 0.500
W2 0.500 0.000 0.500
N1 0.000 0.000 0.500

=====

No. 9
Zr2ReRhN: relaxed, PBE.

Results
Density of states at the Fermi level = 0.81 states/eV/atom
Formation energy (no corrections) = 2.5 eV per formula unit

Unit cell a=5.171 b=5.171 c=3.746 alpha=90.00 beta=90.00 gamma=90.00
Element x y z (fractional)
Zr1 0.000 0.500 0.000
Zr2 0.500 0.000 0.000
Re1 0.000 0.000 0.000
Rh1 0.500 0.500 0.500
N1 0.000 0.000 0.500

=====

No. 10
ReRu3N: relaxed, PBE.

Results
Density of states at the Fermi level = 1.23 states/eV/atom
Formation energy (no corrections) = 2.3 eV per formula unit
Energy relative to the lowest polymorph listed for this composition = 0 meV/atom

Unit cell a=4.015 b=4.015 c=4.015 alpha=90.00 beta=90.00 gamma=90.00
Element x y z (fractional)
Re1 0.000 0.000 0.000
Ru1 0.000 0.500 0.500
Ru2 0.500 0.000 0.500
Ru3 0.500 0.500 0.000
N1 0.500 0.500 0.500

=====

No. 11
ReRuN3: relaxed, PBE.

Results
Density of states at the Fermi level = 0.63 states/eV/atom
Formation energy (no corrections) = 9.5 eV per formula unit

Unit cell a=3.803 b=3.803 c=3.803 alpha=90.00 beta=90.00 gamma=90.00
Element x y z (fractional)
Re1 0.000 0.000 0.000
Ru1 0.500 0.500 0.500
N1 0.000 0.500 0.500
N2 0.500 0.000 0.500
N3 0.500 0.500 0.000

=====

No. 12
ReRu3N: relaxed, PBE.

Results
Density of states at the Fermi level = 1.00 states/eV/atom
Formation energy (no corrections) = 13.9 eV per formula unit
Energy relative to the lowest polymorph listed for this composition = 2311 meV/atom

Unit cell a=4.721 b=4.721 c=4.721 alpha=90.00 beta=90.00 gamma=90.00
Element x y z (fractional)
Re1 0.000 0.000 0.000
Ru1 0.000 0.000 0.500
Ru2 0.000 0.500 0.000
Ru3 0.500 0.000 0.000
N1 0.500 0.500 0.500

=====

- Among the records above, which one has the lowest density of states at the Fermi level?
  ReRuN3